(1)
Density functional theory data (GGA-PBE) for an optimized crystal structure of SrSi2As.

**ΔE_f (raw)**: -186 meV/atom
**Crystal system**: monoclinic
**SG**: Cm

Cell: 9.228 3.705 5.542 Å, 90.00 107.73 90.00°
Fractional positions:
Sr1 0.000 0.000 0.000
Sr2 0.500 0.500 0.000
Si1 0.018 0.500 0.512
Si2 0.227 0.000 0.647
Si3 0.518 0.000 0.512
Si4 0.727 0.500 0.647
As1 0.280 0.500 0.369
As2 0.780 0.000 0.369

(2)
Density functional theory data (GGA-PBE) for an optimized crystal structure of YReTe3.

**ΔE_f (raw)**: 300 meV/atom
**Crystal system**: cubic
**SG**: Pm-3m

Cell: 5.312 5.312 5.312 Å, 90.00 90.00 90.00°
Fractional positions:
Y1 0.000 0.000 0.000
Re1 0.500 0.500 0.500
Te1 0.000 0.500 0.500
Te2 0.500 0.000 0.500
Te3 0.500 0.500 0.000

(3)
Density functional theory data (GGA-PBE) for an optimized crystal structure of KCa3Os.

**Crystal system**: cubic
**SG**: Pm-3m
**Formation energy from the elements**: 1902 meV per atom

Cell: 5.253 5.253 5.253 Å, 90.00 90.00 90.00°
Fractional positions:
K1 0.000 0.000 0.000
Ca1 0.000 0.000 0.500
Ca2 0.000 0.500 0.000
Ca3 0.500 0.000 0.000
Os1 0.500 0.500 0.500

(4)
Density functional theory data (GGA-PBE) for an optimized crystal structure of Ho5Te5Pt.

**ΔE_f (raw)**: -1297 meV/atom
**Crystal system**: monoclinic
**SG**: C2/m

Cell: 7.524 7.524 8.543 Å, 107.26 107.26 47.95°
Fractional positions:
Ho1 0.000 0.000 0.000
Ho2 0.348 0.348 0.688
Ho3 0.349 0.349 0.154
Ho4 0.651 0.651 0.846
Ho5 0.652 0.652 0.312
Te1 0.166 0.166 0.826
Te2 0.182 0.182 0.334
Te3 0.500 0.500 0.500
Te4 0.818 0.818 0.666
Te5 0.834 0.834 0.174
Pt1 0.500 0.500 0.000

DFT total energy across the listed records, respectively: -4.48 -5.37 -1.76 -5.36 eV per atom.
Total moment across the listed records, respectively: 0.00 0.48 0.00 0.00 μB/atom.